(1)
Density functional theory data (PBEsol) for a relaxed TcNF2 crystal.

Cell lengths 3.8583, 3.8583, 3.8583 Å; angles 60.00, 60.00, 60.00 degrees
Element x y z (fractional)
Tc 0.0000 0.0000 0.0000
N 0.5000 0.5000 0.5000
F 0.2500 0.2500 0.2500
F 0.7500 0.7500 0.7500

Output
Space-group type: No. 225



(2)
Density functional theory data (PBEsol) for a relaxed TcNF3 crystal.

Cell lengths 3.9045, 3.9045, 3.9045 Å; angles 90.00, 90.00, 90.00 degrees
Element x y z (fractional)
Tc 0.0000 0.0000 0.0000
N 0.5000 0.5000 0.5000
F 0.0000 0.5000 0.5000
F 0.5000 0.0000 0.5000
F 0.5000 0.5000 0.0000

Output
Space-group type: No. 221



(3)
Density functional theory data (PBEsol) for a relaxed ZnTcNF2 crystal.

Cell lengths 4.0827, 4.0827, 3.7749 Å; angles 90.00, 90.00, 90.00 degrees
Element x y z (fractional)
Zn 0.0000 0.0000 0.0000
Tc 0.5000 0.5000 0.5000
N 0.5000 0.5000 0.0000
F 0.0000 0.5000 0.5000
F 0.5000 0.0000 0.5000

Output
Space-group type: No. 123



(4)
Density functional theory data (PBEsol) for a relaxed TeNF2 crystal.

Cell lengths 8.8805, 8.8805, 8.8805 Å; angles 21.36, 21.36, 21.36 degrees
Element x y z (fractional)
Te 0.0000 0.0000 0.0000
N 0.5000 0.5000 0.5000
F 0.0757 0.0757 0.0757
F 0.9243 0.9243 0.9243

Output
Space-group type: No. 166



(5)
Density functional theory data (PBEsol) for a relaxed Te2NF crystal.

Cell lengths 7.8892, 7.8892, 7.8892 Å; angles 146.59, 146.59, 47.97 degrees
Element x y z (fractional)
Te 0.0578 0.6250 0.9328
Te 0.3750 0.3078 0.4328
Te 0.6922 0.1250 0.0672
Te 0.8750 0.9422 0.5672
N 0.0000 0.0000 0.0000
N 0.7500 0.2500 0.5000
F 0.2500 0.7500 0.5000
F 0.5000 0.5000 0.0000

Output
Space-group type: No. 122



(6)
Density functional theory data (PBEsol) for a relaxed Te2NF crystal.

Cell lengths 8.0338, 8.0338, 8.0338 Å; angles 22.93, 22.93, 22.93 degrees
Element x y z (fractional)
Te 0.0966 0.0966 0.0966
Te 0.9034 0.9034 0.9034
N 0.5000 0.5000 0.5000
F 0.0000 0.0000 0.0000

Output
Space-group type: No. 166



| no. | electronic total energy (eV for the cell shown) | magnetization (Bohr magnetons per cell) |
| --- | --- | --- |
| 1 | -21.566 | 2.0 |
| 2 | -22.015 | 5.6 |
| 3 | -28.064 | 0.0 |
| 4 | -14.612 | 2.9 |
| 5 | -34.903 | 0.0 |
| 6 | -17.024 | 0.0 |